# 1
A plane-wave DFT calculation with GGA-PBE was carried out for a relaxed HoScTe2 crystal.

Cell lengths 4.0255, 7.8702, 6.9564 Å; angles 90.00, 90.00, 90.00 degrees
Space group Imm2 (No. 44)
Unique sites:
Ho  0.0000  0.0000  0.0000 x2
Sc  0.0000  0.5000  0.0054 x2
Te  0.0000  0.2451  0.3374 x4

Summary:
For the energy relative to the lowest polymorph listed for this composition, the calculation gives 36 meV per atom. As for the uncorrected formation energy: -1.1731 eV/atom.

---

# 2
A plane-wave DFT calculation with GGA-PBE was carried out for a relaxed YSnIr3 crystal.

Cell lengths 4.9795, 4.9795, 4.9795 Å; angles 90.00, 90.00, 90.00 degrees
Space group Pm-3m (No. 221)
Unique sites:
Y  0.0000  0.0000  0.0000 x1
Sn  0.5000  0.5000  0.5000 x1
Ir  0.0000  0.0000  0.5000 x3

Summary:
For the energy relative to the lowest polymorph listed for this composition, the calculation gives 937 meV per atom. Its energy of formation from the pure elements is 1.695 eV/atom.

---

# 3
A plane-wave DFT calculation with GGA-PBE was carried out for a relaxed Sm3ThPa2P6 crystal.

Cell lengths 7.0383, 12.1904, 7.0304 Å; angles 90.00, 109.48, 90.00 degrees
Space group C2/m (No. 12)
Unique sites:
Sm  0.0000  0.0000  0.0000 x2
Sm  0.0000  0.3356  0.0000 x4
Th  0.0000  0.5000  0.5000 x2
Pa  0.0000  0.1668  0.5000 x4
P  0.2381  0.0000  0.7412 x4
P  0.2482  0.1712  0.2587 x8

Summary:
Its energy of formation from the pure elements is -1.486 eV/atom.

---

Which density of states at the Fermi level belongs to each record? In order, 3.26, 3.77, 17.04 states/eV/cell.